No. 1
First-principles (GGA-PBE) data for crystalline Ag2BiPb at its relaxed geometry, as listed in Alexandria.

abc: 3.692 3.692 7.212
angles: 90.00 90.00 90.00
Positions (direct):
1 Bi 0.500 0.500 0.000
2 Pb 0.500 0.500 0.500
3 Ag 0.000 0.000 0.749
4 Ag 0.000 0.000 0.251

Computed properties:
* density of states at the Fermi level: 0.23 states/eV/atom
* crystal system: tetragonal
* ΔE_f: 0.10 eV per atom
* space group: P4/mmm
* V: 24.58 A^3/atom
* E: -3.22 eV/atom

No. 2
First-principles (GGA-PBE) data for crystalline LaAl7Ag5 at its relaxed geometry, as listed in Alexandria.

abc: 5.555 7.128 7.128
angles: 82.45 67.07 67.07
Positions (direct):
1 Al 0.505 0.779 0.211
2 Al 0.644 0.356 0.356
3 Al 0.505 0.211 0.779
4 Al 0.353 0.647 0.647
5 Al 0.995 0.651 0.359
6 Al 0.276 0.224 0.224
7 Al 0.995 0.359 0.651
8 Ag 0.004 0.489 0.006
9 Ag 0.004 0.006 0.489
10 Ag 0.501 0.489 0.006
11 Ag 0.501 0.006 0.489
12 Ag 0.717 0.783 0.783
13 La 0.999 0.001 0.001

Computed properties:
* density of states at the Fermi level: 0.31 states/eV/atom
* crystal system: orthorhombic
* ΔE_f: -0.20 eV per atom
* space group: Imm2
* V: 18.41 A^3/atom
* E: -3.69 eV/atom

No. 3
First-principles (GGA-PBE) data for crystalline Ho2TmZn at its relaxed geometry, as listed in Alexandria.

abc: 3.421 3.421 11.837
angles: 81.69 81.69 60.00
Positions (direct):
1 Tm 0.500 0.500 0.500
2 Ho 0.087 0.087 0.739
3 Ho 0.913 0.913 0.261
4 Zn 0.000 0.000 0.000

Computed properties:
* density of states at the Fermi level: 0.77 states/eV/atom
* crystal system: trigonal
* ΔE_f: 0.26 eV per atom
* space group: R-3m
* V: 29.57 A^3/atom
* E: -3.47 eV/atom

No. 4
First-principles (GGA-PBE) data for crystalline K2LaTbSe4 at its relaxed geometry, as listed in Alexandria.

abc: 4.336 7.516 8.085
angles: 108.01 90.00 90.00
Positions (direct):
1 Se 0.500 0.247 0.210
2 Se 0.000 0.274 0.793
3 Se 0.500 0.753 0.790
4 Se 0.000 0.726 0.207
5 K 0.000 0.500 0.500
6 K 0.500 0.000 0.500
7 Tb 0.500 0.500 0.000
8 La 0.000 0.000 0.000

Computed properties:
* ΔE_f (raw): -14.3 eV per formula unit
* density of states at the Fermi level: 0.00 states/eV/atom
* crystal system: monoclinic
* space group: P2/m
* V: 31.32 A^3/atom
* E: -5.00 eV/atom

No. 5
First-principles (GGA-PBE) data for crystalline Nd12DyTm7 at its relaxed geometry, as listed in Alexandria.

abc: 6.205 11.517 11.517
angles: 116.85 100.35 100.35
Positions (direct):
1 Nd 0.063 0.647 0.648
2 Nd 0.087 0.175 0.588
3 Nd 0.501 0.588 0.413
4 Nd 0.416 0.001 0.353
5 Nd 0.585 0.648 0.001
6 Nd 0.912 0.413 0.825
7 Nd 0.415 0.352 0.999
8 Nd 0.937 0.353 0.352
9 Nd 0.088 0.587 0.175
10 Nd 0.499 0.412 0.587
11 Nd 0.913 0.825 0.412
12 Nd 0.584 0.999 0.647
13 Tm 0.875 0.002 0.244
14 Tm 0.126 0.758 0.002
15 Tm 0.631 0.756 0.758
16 Tm 0.500 0.000 0.000
17 Tm 0.369 0.244 0.242
18 Tm 0.125 0.998 0.756
19 Tm 0.874 0.242 0.998
20 Dy 0.000 0.000 0.000

Computed properties:
* density of states at the Fermi level: 1.45 states/eV/atom
* crystal system: trigonal
* ΔE_f: 0.24 eV per atom
* space group: R-3
* V: 34.49 A^3/atom
* E: -4.42 eV/atom

No. 6
First-principles (GGA-PBE) data for crystalline AcHgP2Pt7 at its relaxed geometry, as listed in Alexandria.

abc: 4.107 4.107 15.289
angles: 97.72 97.72 90.00
Positions (direct):
1 Pt 0.919 0.419 0.839
2 Pt 0.808 0.808 0.616
3 Pt 0.581 0.081 0.161
4 Pt 0.192 0.192 0.384
5 Pt 0.081 0.581 0.161
6 Pt 0.000 0.000 0.000
7 Pt 0.419 0.919 0.839
8 P 0.880 0.880 0.759
9 P 0.120 0.120 0.241
10 Ac 0.500 0.500 0.000
11 Hg 0.250 0.750 0.500

Computed properties:
* density of states at the Fermi level: 0.24 states/eV/atom
* crystal system: tetragonal
* ΔE_f: -0.24 eV per atom
* space group: I-4m2
* V: 23.01 A^3/atom
* E: -5.47 eV/atom

No. 7
First-principles (GGA-PBE) data for crystalline HoTmAl6 at its relaxed geometry, as listed in Alexandria.

abc: 4.747 6.109 6.109
angles: 119.97 90.00 90.00
Positions (direct):
1 Al 0.500 0.901 0.099
2 Al 0.500 0.448 0.099
3 Al 0.000 0.600 0.400
4 Al 0.000 0.050 0.400
5 Al 0.500 0.901 0.552
6 Al 0.000 0.600 0.950
7 Ho 0.500 0.417 0.583
8 Tm 0.000 0.083 0.917

Computed properties:
* density of states at the Fermi level: 0.43 states/eV/atom
* crystal system: hexagonal
* ΔE_f: -0.41 eV per atom
* space group: P-6m2
* V: 19.19 A^3/atom
* E: -4.34 eV/atom

No. 8
First-principles (GGA-PBE) data for crystalline OsPd3Se at its relaxed geometry, as listed in Alexandria.

abc: 4.811 4.811 4.811
angles: 90.00 90.00 90.00
Positions (direct):
1 Os 0.000 0.000 0.000
2 Pd 0.500 0.000 0.000
3 Pd 0.000 0.500 0.000
4 Pd 0.000 0.000 0.500
5 Se 0.500 0.500 0.500

Computed properties:
* ΔE_f (raw): 6.5 eV per formula unit
* density of states at the Fermi level: 1.43 states/eV/atom
* crystal system: cubic
* space group: Pm-3m
* V: 22.27 A^3/atom
* E: -4.77 eV/atom

No. 9
First-principles (GGA-PBE) data for crystalline AlTlTe2 at its relaxed geometry, as listed in Alexandria.

abc: 6.959 3.839 19.028
angles: 90.00 90.00 90.00
Positions (direct):
1 Te 0.250 0.750 0.431
2 Te 0.499 0.250 0.750
3 Te 0.001 0.750 0.250
4 Te 0.501 0.750 0.250
5 Te 0.999 0.250 0.750
6 Te 0.250 0.250 0.931
7 Te 0.750 0.250 0.569
8 Te 0.750 0.750 0.069
9 Al 0.749 0.750 0.672
10 Al 0.751 0.250 0.172
11 Al 0.251 0.250 0.328
12 Al 0.249 0.750 0.828
13 Tl 0.751 0.250 0.921
14 Tl 0.249 0.750 0.079
15 Tl 0.251 0.250 0.579
16 Tl 0.749 0.750 0.421

Computed properties:
* ΔE_f (raw): -0.6 eV per formula unit
* density of states at the Fermi level: 0.29 states/eV/atom
* crystal system: orthorhombic
* space group: Pnma
* V: 31.78 A^3/atom
* E: -3.26 eV/atom

No. 10
First-principles (GGA-PBE) data for crystalline LiCu2As2 at its relaxed geometry, as listed in Alexandria.

abc: 7.352 7.352 2.929
angles: 90.00 90.00 90.00
Positions (direct):
1 As 0.326 0.174 0.500
2 As 0.174 0.674 0.500
3 As 0.674 0.826 0.500
4 As 0.826 0.326 0.500
5 Cu 0.876 0.624 0.000
6 Cu 0.124 0.376 0.000
7 Cu 0.624 0.124 0.000
8 Cu 0.376 0.876 0.000
9 Li 0.500 0.500 0.000
10 Li 0.000 0.000 0.000

Computed properties:
* density of states at the Fermi level: 0.48 states/eV/atom
* crystal system: tetragonal
* ΔE_f: -0.07 eV per atom
* space group: P4/mbm
* V: 15.83 A^3/atom
* E: -3.95 eV/atom

No. 11
First-principles (GGA-PBE) data for crystalline AgSbPt2 at its relaxed geometry, as listed in Alexandria.

abc: 4.665 4.665 4.665
angles: 60.00 60.00 60.00
Positions (direct):
1 Pt 0.000 0.000 0.000
2 Pt 0.750 0.750 0.750
3 Sb 0.250 0.250 0.250
4 Ag 0.500 0.500 0.500

Computed properties:
* ΔE_f (raw): -0.1 eV per formula unit
* density of states at the Fermi level: 0.53 states/eV/atom
* crystal system: cubic
* space group: F-43m
* V: 17.95 A^3/atom
* E: -4.78 eV/atom

No. 12
First-principles (GGA-PBE) data for crystalline MgHg4S5 at its relaxed geometry, as listed in Alexandria.

abc: 4.204 4.204 34.189
angles: 90.00 90.00 120.00
Positions (direct):
1 S 0.333 0.667 0.420
2 S 0.667 0.333 0.930
3 S 0.667 0.333 0.522
4 S 0.333 0.667 0.828
5 S 0.333 0.667 0.624
6 S 0.667 0.333 0.726
7 S 0.667 0.333 0.317
8 S 0.333 0.667 0.032
9 S 0.333 0.667 0.226
10 S 0.667 0.333 0.123
11 Hg 0.667 0.333 0.006
12 Hg 0.333 0.667 0.904
13 Hg 0.667 0.333 0.199
14 Hg 0.333 0.667 0.496
15 Hg 0.667 0.333 0.802
16 Hg 0.667 0.333 0.393
17 Hg 0.667 0.333 0.598
18 Hg 0.333 0.667 0.700
19 Mg 0.333 0.667 0.104
20 Mg 0.333 0.667 0.298

Computed properties:
* ΔE_f (raw): -3.8 eV per formula unit
* density of states at the Fermi level: 0.06 states/eV/atom
* crystal system: trigonal
* space group: P3m1
* V: 26.17 A^3/atom
* E: -2.72 eV/atom